Entry 1:
Sr7Sb2O2: optimized geometry, PBE.

The uncorrected formation energy is -1.12 eV per atom. The calculated volume is 1022.65 Å³/cell. The calculated density is 2887 kg/m3. The value obtained for the total energy is -84.59 eV per cell.

The structure belongs to space group C2/m (No. 12); the cell edges are 8.0597, 15.7037 and 8.0800 Å and the angles 90.00°, 90.16° and 90.00°. The inequivalent atoms are Sr at (0.0000, 0.0000, 0.0000), Sr at (0.9999, 0.5000, 0.2086), Sr at (0.2498, 0.2504, 0.2414), Sb at (0.0000, 0.3426, 0.5000) and O at (0.2040, 0.5000, 0.0007).

=====

Entry 2:
SrSb3O: optimized geometry, PBE.

The uncorrected formation energy is -0.52 eV per atom. The relative energy among the computed polymorphs comes out at 0.0000 eV/atom. The calculated volume is 120.88 Å³/cell. The calculated density is 6442 kg/m3. The value obtained for the total energy is -21.59 eV per cell.

The structure belongs to space group Pm-3m (No. 221); the cell edges are 4.9444, 4.9444 and 4.9444 Å and the angles 90.00°, 90.00° and 90.00°. The inequivalent atoms are Sr at (0.0000, 0.0000, 0.0000), Sb at (0.0000, 0.5000, 0.5000) and O at (0.5000, 0.5000, 0.5000).

=====

Entry 3:
SrSbO: optimized geometry, PBE.

The uncorrected formation energy is -1.09 eV per atom. The calculated volume is 368.40 Å³/cell. The calculated density is 4064 kg/m3. The value obtained for the total energy is -56.13 eV per cell.

The structure belongs to space group Immm (No. 71); the cell edges are 5.0724, 6.7164 and 10.8137 Å and the angles 90.00°, 90.00° and 90.00°. The inequivalent atoms are Sr at (0.0000, 0.0000, 0.1651), Sb at (0.0000, 0.2519, 0.5000) and O at (0.0000, 0.0000, 0.3799).

=====

Entry 4:
Sr5Sb3O: optimized geometry, PBE.

The uncorrected formation energy is -1.43 eV per atom. The calculated volume is 1172.27 Å³/cell. The calculated density is 4643 kg/m3. The value obtained for the total energy is -154.36 eV per cell.

The structure belongs to space group I4/mcm (No. 140); the cell edges are 8.7367, 8.7367 and 15.3578 Å and the angles 90.00°, 90.00° and 90.00°. The inequivalent atoms are Sr at (0.0000, 0.0000, 0.0000), Sr at (0.1492, 0.3508, 0.1522), Sb at (0.0000, 0.0000, 0.2500), Sb at (0.1425, 0.3575, 0.5000) and O at (0.0000, 0.5000, 0.2500).